An optimized crystal structure of EuTl2Au. Source: Alexandria via LeMat-Bulk, functional PBE.

The energy relative to the elements comes out at -108.4 kJ/mol of formula units.

It has space group Fm-3m (No. 225), with a = 7.426 Å, b = 7.426 Å, c = 7.426 Å, α = 90.00°, β = 90.00° and γ = 90.00°. Symmetry generates all atoms from Eu at (0.000, 0.000, 0.000), Tl at (0.250, 0.250, 0.250) and Au at (0.000, 0.000, 0.500).

An optimized crystal structure of KSiAu3. Source: Alexandria via LeMat-Bulk, functional PBE.

For the raw formation energy, the calculation gives 1485.3 meV/atom.

It has space group Pm-3m (No. 221), with a = 5.462 Å, b = 5.462 Å, c = 5.462 Å, α = 90.00°, β = 90.00° and γ = 90.00°. Symmetry generates all atoms from K at (0.000, 0.000, 0.000), Si at (0.500, 0.500, 0.500) and Au at (0.000, 0.000, 0.500).

An optimized crystal structure of InCuC3. Source: Alexandria via LeMat-Bulk, functional PBE.

The energy relative to the elements comes out at 1608.1 kJ/mol of formula units. The value obtained for the excess energy over the best structure of this formula in the dataset is 795 meV/atom.

It has space group Pm-3m (No. 221), with a = 4.316 Å, b = 4.316 Å, c = 4.316 Å, α = 90.00°, β = 90.00° and γ = 90.00°. Symmetry generates all atoms from In at (0.000, 0.000, 0.000), Cu at (0.500, 0.500, 0.500) and C at (0.000, 0.000, 0.500).

An optimized crystal structure of FePtI2Cl. Source: Alexandria via LeMat-Bulk, functional PBE.

For the raw formation energy, the calculation gives 535.4 meV/atom.

It has space group P4/mmm (No. 123), with a = 5.542 Å, b = 5.542 Å, c = 4.765 Å, α = 90.00°, β = 90.00° and γ = 90.00°. Symmetry generates all atoms from Fe at (0.000, 0.000, 0.000), Pt at (0.500, 0.500, 0.500), I at (0.000, 0.500, 0.500) and Cl at (0.500, 0.500, 0.000).

An optimized crystal structure of Ho3Al5Co2. Source: Alexandria via LeMat-Bulk, functional PBE.

The energy relative to the elements comes out at -500.3 kJ/mol of formula units.

It has space group P4/mbm (No. 127), with a = 9.519 Å, b = 9.519 Å, c = 4.061 Å, α = 90.00°, β = 90.00° and γ = 90.00°. Symmetry generates all atoms from Ho at (0.000, 0.000, 0.000), Ho at (0.176, 0.324, 0.000), Al at (0.000, 0.500, 0.500), Al at (0.069, 0.773, 0.500) and Co at (0.116, 0.616, 0.000).

no.,N(E_F) (states/eV/f.u.)
1,3.67
2,2.41
3,3.09
4,9.91
5,5.98